10
Lattice="8.785 -1.918 0.000 8.785 1.918 0.000 -1.985 0.000 7.907" Properties=species:S:1:pos:R:3 comment="Nd2Y2CBr3Cl2, relaxed, DFT PBE" crystal_system=monoclinic de_polymorph_ev_per_atom=0.0086 total_energy_ev_per_atom=-5.5760 pbc="T T T"
Nd 2.431 0.000 0.630
Nd 13.154 0.000 7.277
Y 8.359 0.000 1.594
Y 7.227 0.000 6.313
C 0.000 0.000 0.000
Br -0.992 0.000 3.954
Br 4.624 0.000 5.057
Br 10.961 0.000 2.850
Cl 5.536 0.000 1.349
Cl 10.049 0.000 6.558

10
Lattice="8.934 -1.942 0.000 8.934 1.942 0.000 -1.967 0.000 8.168" Properties=species:S:1:pos:R:3 comment="Nd2Y2CBr3Cl2, relaxed, DFT PBE" crystal_system=monoclinic de_polymorph_ev_per_atom=0.0007 total_energy_ev_per_atom=-5.5839 pbc="T T T"
Nd -0.396 0.000 1.691
Nd 16.297 0.000 6.477
Y 4.635 0.000 7.566
Y 11.266 0.000 0.602
C 8.934 0.000 0.000
Br 1.442 0.000 6.887
Br 7.950 0.000 4.084
Br 14.459 0.000 1.281
Cl 2.341 0.000 2.521
Cl 13.560 0.000 5.647